[1]
## MoAuCl2 (meta-GGA SCAN)

Data for a crystal of MoAuCl2 relaxed with PBEsol.

a = 2.9620 Å, b = 4.2750 Å, c = 5.4458 Å
α = 90.00°, β = 90.00°, γ = 90.00°
Site moments in Bohr magnetons follow the coordinates.
Atoms (fractional coordinates):
1 Au 0.0000 0.5000 0.5000  0.06
2 Mo 0.5000 0.5000 0.0000  2.30
3 Cl 0.5000 0.0000 0.5000  0.08
4 Cl 0.0000 0.0000 0.0000  -0.01

Calculated values
uncorrected formation energy: 499 meV/atom
raw total energy: -29.501 eV/atom

---

[2]
## Tl2CuSi (meta-GGA SCAN)

Data for a crystal of Tl2CuSi relaxed with PBEsol.

a = 4.2902 Å, b = 4.3092 Å, c = 5.1199 Å
α = 114.89°, β = 90.00°, γ = 90.00°
Atoms (fractional coordinates):
1 Si 0.5000 0.7115 0.4230
2 Tl 0.0000 0.0982 0.1965
3 Tl 0.5000 0.4105 0.8210
4 Cu 0.0000 0.8027 0.6054

Calculated values
uncorrected formation energy: 299 meV/atom
raw total energy: -42.184 eV/atom